[1]
Material: DyTmFeAg
Method: DFT, GGA-PBE
State: optimized geometry

```
DyTmFeAg
1.0
4.8869 0.0000 0.0000
2.4434 4.2321 0.0000
2.4434 1.4107 3.9901
Dy Tm Ag Fe
1 1 1 1
Direct
0.0000 0.0000 0.0000
0.5000 0.5000 0.5000
0.2500 0.2500 0.2500
0.7500 0.7500 0.7500
```

Output
Energy   -5.127 eV/atom
Symmetry   F-43m (216)
Formation energy   -0.03 eV per atom


[2]
Material: In2SbS2
Method: DFT, GGA-PBE
State: optimized geometry

```
In2SbS2
1.0
5.1929 0.0000 0.0000
0.0000 5.1929 0.0000
2.5964 2.5964 4.5311
Sb In S
1 2 2
Direct
0.0000 0.0000 0.0000
0.3451 0.3451 0.3098
0.6549 0.6549 0.6902
0.2500 0.7500 0.5000
0.7500 0.2500 0.5000
```

Output
Energy   -3.504 eV/atom
Symmetry   I4/mmm (139)
Energy relative to the elements, uncorrected   67 meV per atom


[3]
Material: Li3CuAs2
Method: DFT, GGA-PBE
State: optimized geometry

```
Li3CuAs2
1.0
5.3694 0.0000 0.0000
0.0000 5.3867 0.0000
-2.6847 -2.6934 6.6281
Li As Cu
6 4 2
Direct
0.0771 0.8250 0.6501
0.5729 0.3250 0.6501
0.5000 0.2500 0.0000
0.9229 0.1750 0.3499
0.5000 0.7500 0.0000
0.4271 0.6750 0.3499
0.8897 0.6247 0.2494
0.1103 0.3753 0.7506
0.6403 0.8753 0.7506
0.3597 0.1247 0.2494
0.0000 0.2500 0.0000
0.0000 0.7500 0.0000
```

Output
Energy   -3.643 eV/atom
Symmetry   Ibam (72)
Formation energy   -0.45 eV per atom


[4]
Material: La2InAg6
Method: DFT, GGA-PBE
State: optimized geometry

```
La2InAg6
1.0
6.1379 -0.0006 0.0026
0.0019 5.4342 -3.1335
-0.0010 -0.0022 6.2750
La Ag In
2 6 1
Direct
0.8430 0.6666 0.3332
0.1570 0.3334 0.6667
0.6656 0.6356 0.8178
0.3344 0.8178 0.1822
0.3344 0.8176 0.6353
0.6656 0.1824 0.3647
0.6656 0.1822 0.8178
0.3344 0.3644 0.1822
0.0000 0.0000 0.0000
```

Output
Energy   -3.530 eV/atom
Symmetry   P-3m1 (164)
Formation energy   -0.23 eV per atom